1.
An optimized crystal structure of Zr3AgB. Source: Alexandria via LeMat-Bulk, functional GGA-PBE.

Output
polymorph energy (0 for the lowest one): 1.8263 eV/atom
formation energy: 1.714 eV per atom
crystal system: cubic
total magnetization: 0.00 μB/f.u.
total DFT energy (no corrections): -26.61 eV/f.u.

Geometry as CIF:
```
data_Zr3AgB
_chemical_formula_sum 'Zr3 Ag1 B1'
_symmetry_space_group_name_H-M 'P m -3 m'
_symmetry_Int_Tables_number 221
_symmetry_space_group_name_Hall '-P 4 2 3'
_cell_length_a 5.077
_cell_length_b 5.077
_cell_length_c 5.077
_cell_angle_alpha 90.00
_cell_angle_beta 90.00
_cell_angle_gamma 90.00
loop_
_atom_site_label
_atom_site_type_symbol
_atom_site_fract_x
_atom_site_fract_y
_atom_site_fract_z
_atom_site_occupancy
Zr1 Zr 0.000 0.000 0.500 1
Ag1 Ag 0.000 0.000 0.000 1
B1 B 0.500 0.500 0.500 1
```

***

2.
An optimized crystal structure of ZrAg2B2. Source: Alexandria via LeMat-Bulk, functional GGA-PBE.

Output
polymorph energy (0 for the lowest one): 0.6106 eV/atom
formation energy: 0.702 eV per atom
crystal system: tetragonal
total magnetization: 0.00 μB/f.u.
total DFT energy (no corrections): -24.09 eV/f.u.

Geometry as CIF:
```
data_ZrAg2B2
_chemical_formula_sum 'Zr2 Ag4 B4'
_symmetry_space_group_name_H-M 'P 4/m b m'
_symmetry_Int_Tables_number 127
_symmetry_space_group_name_Hall '-P 4 2ab'
_cell_length_a 6.894
_cell_length_b 6.894
_cell_length_c 2.974
_cell_angle_alpha 90.00
_cell_angle_beta 90.00
_cell_angle_gamma 90.00
loop_
_atom_site_label
_atom_site_type_symbol
_atom_site_fract_x
_atom_site_fract_y
_atom_site_fract_z
_atom_site_occupancy
Zr1 Zr 0.000 0.000 0.000 1
Ag1 Ag 0.143 0.357 0.500 1
B1 B 0.163 0.663 0.000 1
```

***

3.
An optimized crystal structure of ZrAg2B. Source: Alexandria via LeMat-Bulk, functional GGA-PBE.

Output
formation energy: 0.453 eV per atom
crystal system: tetragonal
total magnetization: 0.00 μB/f.u.
total DFT energy (no corrections): -19.12 eV/f.u.

Geometry as CIF:
```
data_ZrAg2B
_chemical_formula_sum 'Zr4 Ag8 B4'
_symmetry_space_group_name_H-M 'I -4 2 d'
_symmetry_Int_Tables_number 122
_symmetry_space_group_name_Hall 'I -4 2bw'
_cell_length_a 3.686
_cell_length_b 3.686
_cell_length_c 20.397
_cell_angle_alpha 90.00
_cell_angle_beta 90.00
_cell_angle_gamma 90.00
loop_
_atom_site_label
_atom_site_type_symbol
_atom_site_fract_x
_atom_site_fract_y
_atom_site_fract_z
_atom_site_occupancy
Zr1 Zr 0.000 0.000 0.000 1
Ag1 Ag 0.242 0.250 0.625 1
B1 B 0.000 0.000 0.500 1
```

***

4.
An optimized crystal structure of ZrAg2B2. Source: Alexandria via LeMat-Bulk, functional GGA-PBE.

Output
polymorph energy (0 for the lowest one): 0.0000 eV/atom
formation energy: 0.092 eV per atom
crystal system: tetragonal
total magnetization: 0.00 μB/f.u.
total DFT energy (no corrections): -27.15 eV/f.u.

Geometry as CIF:
```
data_ZrAg2B2
_chemical_formula_sum 'Zr2 Ag4 B4'
_symmetry_space_group_name_H-M 'I 4/m m m'
_symmetry_Int_Tables_number 139
_symmetry_space_group_name_Hall '-I 4 2'
_cell_length_a 3.731
_cell_length_b 3.731
_cell_length_c 9.803
_cell_angle_alpha 90.00
_cell_angle_beta 90.00
_cell_angle_gamma 90.00
loop_
_atom_site_label
_atom_site_type_symbol
_atom_site_fract_x
_atom_site_fract_y
_atom_site_fract_z
_atom_site_occupancy
Zr1 Zr 0.000 0.000 0.000 1
Ag1 Ag 0.000 0.500 0.250 1
B1 B 0.000 0.000 0.417 1
```

***

5.
An optimized crystal structure of ZrAgB3. Source: Alexandria via LeMat-Bulk, functional GGA-PBE.

Output
polymorph energy (0 for the lowest one): 0.0000 eV/atom
formation energy: 1.555 eV per atom
crystal system: cubic
total magnetization: 0.00 μB/f.u.
total DFT energy (no corrections): -23.66 eV/f.u.

Geometry as CIF:
```
data_ZrAgB3
_chemical_formula_sum 'Zr1 Ag1 B3'
_symmetry_space_group_name_H-M 'P m -3 m'
_symmetry_Int_Tables_number 221
_symmetry_space_group_name_Hall '-P 4 2 3'
_cell_length_a 4.120
_cell_length_b 4.120
_cell_length_c 4.120
_cell_angle_alpha 90.00
_cell_angle_beta 90.00
_cell_angle_gamma 90.00
loop_
_atom_site_label
_atom_site_type_symbol
_atom_site_fract_x
_atom_site_fract_y
_atom_site_fract_z
_atom_site_occupancy
Zr1 Zr 0.000 0.000 0.000 1
Ag1 Ag 0.500 0.500 0.500 1
B1 B 0.000 0.500 0.500 1
```

***

6.
An optimized crystal structure of ZrAgB3. Source: Alexandria via LeMat-Bulk, functional GGA-PBE.

Output
polymorph energy (0 for the lowest one): 0.2506 eV/atom
formation energy: 1.806 eV per atom
crystal system: cubic
total magnetization: 0.00 μB/f.u.
total DFT energy (no corrections): -22.40 eV/f.u.

Geometry as CIF:
```
data_ZrAgB3
_chemical_formula_sum 'Zr1 Ag1 B3'
_symmetry_space_group_name_H-M 'P m -3 m'
_symmetry_Int_Tables_number 221
_symmetry_space_group_name_Hall '-P 4 2 3'
_cell_length_a 4.438
_cell_length_b 4.438
_cell_length_c 4.438
_cell_angle_alpha 90.00
_cell_angle_beta 90.00
_cell_angle_gamma 90.00
loop_
_atom_site_label
_atom_site_type_symbol
_atom_site_fract_x
_atom_site_fract_y
_atom_site_fract_z
_atom_site_occupancy
Zr1 Zr 0.000 0.000 0.000 1
Ag1 Ag 0.500 0.500 0.500 1
B1 B 0.000 0.000 0.500 1
```